## i
BaLi2La2, optimized geometry, DFT PBE-GGA; M_tot = 0.00 μB/cell
1.0
9.5171 0.0000 0.0000
0.0000 9.5171 0.0000
0.0000 0.0000 3.7068
Ba Li La
2 4 4
direct
0.0000 0.0000 0.0000 Ba
0.5000 0.5000 0.0000 Ba
0.1744 0.3256 0.5000 Li
0.3256 0.8256 0.5000 Li
0.6744 0.1744 0.5000 Li
0.8256 0.6744 0.5000 Li
0.1153 0.6153 0.0000 La
0.3847 0.1153 0.0000 La
0.6153 0.8847 0.0000 La
0.8847 0.3847 0.0000 La

---

## ii
BaLi2La2, optimized geometry, DFT PBE-GGA; M_tot = 0.00 μB/cell
1.0
-2.7892 2.7892 5.8980
2.7892 -2.7892 5.8980
2.7892 2.7892 -5.8980
Ba Li La
1 2 2
direct
0.0000 0.0000 0.0000 Ba
0.2500 0.7500 0.5000 Li
0.7500 0.2500 0.5000 Li
0.3779 0.3779 0.0000 La
0.6221 0.6221 0.0000 La

---

Most stable structure: i

---

## i
BaLiLa2Ru, optimized geometry, DFT PBE-GGA; M_tot = 0.00 μB/cell
1.0
5.4528 0.0000 0.0000
0.0000 5.4528 0.0000
0.0000 0.0000 6.3813
Ba Li La Ru
1 1 2 1
direct
0.0000 0.0000 0.0000 Ba
0.5000 0.5000 0.0000 Li
0.0000 0.5000 0.5000 La
0.5000 0.0000 0.5000 La
0.0000 0.0000 0.5000 Ru

---

## ii
BaLiLa2Ru, optimized geometry, DFT PBE-GGA; M_tot = 0.00 μB/cell
1.0
5.4034 0.0000 0.0000
0.0000 5.4034 0.0000
0.0000 0.0000 5.9220
Ba Li La Ru
1 1 2 1
direct
0.0000 0.0000 0.0000 Ba
0.5000 0.5000 0.0000 Li
0.0000 0.5000 0.5000 La
0.5000 0.0000 0.5000 La
0.5000 0.5000 0.5000 Ru

---

Most stable structure: ii